Computed, not measured: a geometry-optimized Li2AgGeS4 structure at the PBE level of DFT.

Computed properties:
Raw total energy, eV/cell: -32.15
Density, g/cm3: 3.4
V, A^3/atom: 20.0
Formation energy (no corrections), meV per atom: -543

a = 6.8525 Å, b = 5.9202 Å, c = 5.9202 Å
α = 70.16°, β = 54.64°, γ = 54.64°
Element x y z (fractional)
Ag (0.0000, 0.0000, 0.0000)
Ge (0.0000, 0.5000, 0.5000)
S (0.3609, 0.1154, 0.5237)
S (0.6391, 0.4763, 0.8846)
S (0.0000, 0.5237, 0.1154)
S (0.0000, 0.8846, 0.4763)
Li (0.5000, 0.7500, 0.2500)
Li (0.5000, 0.2500, 0.7500)